(1)
Density functional theory data (PBE) for crystalline CsTlAuCl at its relaxed geometry.

a = 5.7405 Å, b = 5.7405 Å, c = 5.7405 Å
α = 60.00°, β = 60.00°, γ = 60.00°
Closest atoms and distances in Å follow each position.
Fractional positions:
Cs 0.0000 0.0000 0.0000  4 Cl 3.52, 4 Au 3.52
Au 0.7500 0.7500 0.7500  4 Cs 3.52, 4 Tl 3.52
Cl 0.2500 0.2500 0.2500  4 Tl 3.52, 4 Cs 3.52
Tl 0.5000 0.5000 0.5000  4 Cl 3.52, 4 Au 3.52

Calculated values
M_tot in μB/cell: 0.0

---

(2)
Density functional theory data (PBE) for crystalline CsTlAuCl6 at its relaxed geometry.

a = 6.7937 Å, b = 7.5777 Å, c = 7.6853 Å
α = 97.25°, β = 94.02°, γ = 56.11°
Closest atoms and distances in Å follow each position.
Fractional positions:
Cl 0.3583 0.6304 0.3405  1 Au 2.46
Au 0.6617 0.6692 0.5001  4 Cl 2.45-2.46
Cs 0.0786 0.9607 0.0001  6 Cl 3.51-3.60
Tl 0.3633 0.3184 0.4999  6 Cl 2.51-2.78
Cl 0.3583 0.0114 0.6595  1 Au 2.46
Cl 0.9806 0.6310 0.6966  1 Au 2.45, 1 Tl 2.73
Cl 0.9804 0.3885 0.3036  1 Au 2.45, 1 Tl 2.73
Cl 0.6095 0.3536 0.7430  1 Tl 2.51
Cl 0.6090 0.0369 0.2567  1 Tl 2.51

Calculated values
M_tot in μB/cell: 1.0

---

(3)
Density functional theory data (PBE) for crystalline Cs2TmAuCl6 at its relaxed geometry.

a = 7.6796 Å, b = 7.6786 Å, c = 8.2629 Å
α = 57.46°, β = 57.46°, γ = 81.06°
Closest atoms and distances in Å follow each position.
Fractional positions:
Cs 0.2500 0.7502 0.4998  12 Cl 3.85-4.14
Cl 0.7790 0.7784 0.0004  1 Tm 2.58
Cl 0.7342 0.2651 0.0000  1 Au 2.34
Cl 0.2210 0.2216 0.9996  1 Tm 2.58
Cl 0.7787 0.7788 0.4420  1 Tm 2.58
Au 0.5000 0.5000 0.0000  2 Cl 2.34
Tm 0.0000 0.0000 0.0000  6 Cl 2.58-2.65
Cl 0.2213 0.2212 0.5580  1 Tm 2.58
Cs 0.7500 0.2498 0.5002  12 Cl 3.85-4.14
Cl 0.2658 0.7349 0.0000  1 Au 2.34

Calculated values
M_tot in μB/cell: 0.0

---

(4)
Density functional theory data (PBE) for crystalline Cs2VAuCl6 at its relaxed geometry.

a = 7.9298 Å, b = 7.9298 Å, c = 7.4390 Å
α = 57.79°, β = 57.79°, γ = 90.00°
Closest atoms and distances in Å follow each position.
Fractional positions:
Cl 0.2897 0.2897 0.0000  1 V 2.36
Cl 0.2395 0.2395 0.5211  1 Au 2.34, 1 V 2.55
Au 0.0000 0.0000 0.0000  2 Cl 2.34
Cs 0.7500 0.2500 0.5000  12 Cl 3.75-3.97
Cl 0.7605 0.7605 0.4789  1 Au 2.34, 1 V 2.55
Cl 0.7103 0.7103 0.0000  1 V 2.36
Cl 0.2897 0.7103 0.0000  1 V 2.36
Cs 0.2500 0.7500 0.5000  12 Cl 3.75-3.97
V 0.5000 0.5000 0.0000  6 Cl 2.36-2.55
Cl 0.7103 0.2897 0.0000  1 V 2.36

Calculated values
M_tot in μB/cell: 2.0

---

(5)
Density functional theory data (PBE) for crystalline Cs2WAuCl6 at its relaxed geometry.

a = 7.9982 Å, b = 7.9982 Å, c = 7.4806 Å
α = 57.68°, β = 57.68°, γ = 90.00°
Closest atoms and distances in Å follow each position.
Fractional positions:
Cl 0.7153 0.7153 0.0000  1 W 2.44
Cl 0.7153 0.2847 0.0000  1 W 2.44
Cl 0.2433 0.2433 0.5134  1 Au 2.38, 1 W 2.51
Cs 0.2500 0.7500 0.5000  12 Cl 3.76-4.00
W 0.5000 0.5000 0.0000  6 Cl 2.44-2.51
Cl 0.2847 0.2847 0.0000  1 W 2.44
Cs 0.7500 0.2500 0.5000  12 Cl 3.76-4.00
Cl 0.2847 0.7153 0.0000  1 W 2.44
Au 0.0000 0.0000 0.0000  2 Cl 2.38
Cl 0.7567 0.7567 0.4866  1 Au 2.38, 1 W 2.51

Calculated values
M_tot in μB/cell: 3.0

---

(6)
Density functional theory data (PBE) for crystalline Cu3AuCl at its relaxed geometry.

a = 4.8333 Å, b = 4.8333 Å, c = 4.8333 Å
α = 90.00°, β = 90.00°, γ = 90.00°
Closest atoms and distances in Å follow each position.
Fractional positions:
Au 0.0000 0.0000 0.0000  6 Cu 2.42
Cu 0.0000 0.5000 0.0000  2 Au 2.42
Cu 0.0000 0.0000 0.5000  2 Au 2.42
Cu 0.5000 0.0000 0.0000  2 Au 2.42
Cl 0.5000 0.5000 0.5000  12 Cu 3.42

Calculated values
M_tot in μB/cell: 0.0

---

Which electronic total energy belongs to each record? In order, -2.78 -2.78 -3.80 -3.82 -3.94 -2.79 eV/atom.
Which energy relative to the elements, uncorrected belongs to each record? In order, -0.69 -0.83 -1.75 -1.31 -1.04 0.69 eV/atom.
Which ρ belongs to each record? In order, 7.1 3.8 4.1 3.9 4.6 6.2 Mg/m³.